# TiTcP2I

TiTcP2I after structural relaxation (GGA-PBE, Alexandria via LeMat-Bulk).

a b c (Å): 4.6346 4.6346 5.2872
angles (deg): 90.00 90.00 90.00
Last column: nearest neighbours and their distance in Å.
Space group P4/mmm (No. 123)
Symmetry-distinct sites (fractional):
Ti 0.0000 0.0000 0.0000 (multiplicity 1)  4 P 2.32
Tc 0.0000 0.0000 0.5000 (multiplicity 1)  2 Ti 2.64
P 0.0000 0.5000 0.0000 (multiplicity 2)  2 Ti 2.32
I 0.5000 0.5000 0.5000 (multiplicity 1)  4 Tc 3.28, 8 P 3.52

- E_form (uncorrected) (eV per atom) = 0.8236



# LiGeB

LiGeB after structural relaxation (GGA-PBE, Alexandria via LeMat-Bulk).

a b c (Å): 4.2368 4.2368 7.3674
angles (deg): 90.00 90.00 120.00
Last column: nearest neighbours and their distance in Å.
Space group P6_3/mmc (No. 194)
Symmetry-distinct sites (fractional):
Li 0.3333 0.6667 0.2500 (multiplicity 2)  3 B 2.45
Ge 0.0000 0.0000 0.0000 (multiplicity 2)  2 B 1.84
B 0.0000 0.0000 0.2500 (multiplicity 2)  2 Ge 1.84

- energy of formation (eV per atom) = 0.5727



# LaYGa2Pd2

LaYGa2Pd2 after structural relaxation (GGA-PBE, Alexandria via LeMat-Bulk).

a b c (Å): 4.5530 4.5530 7.1666
angles (deg): 90.00 90.00 120.00
Last column: nearest neighbours and their distance in Å.
Space group P-3m1 (No. 164)
Symmetry-distinct sites (fractional):
La 0.0000 0.0000 0.0000 (multiplicity 1)  6 Pd 3.30, 6 Ga 3.30, 2 Y 3.58
Y 0.0000 0.0000 0.5000 (multiplicity 1)  6 Ga 3.07, 6 Pd 3.07
Ga 0.3333 0.6667 0.2783 (multiplicity 2)  3 Pd 2.63
Pd 0.3333 0.6667 0.7220 (multiplicity 2)  3 Ga 2.63

- energy of formation (eV per atom) = -0.8490



# Nd5Sb4Pb

Nd5Sb4Pb after structural relaxation (GGA-PBE, Alexandria via LeMat-Bulk).

a b c (Å): 10.1363 10.1363 6.4105
angles (deg): 90.00 90.00 90.00
Last column: nearest neighbours and their distance in Å.
Space group I4/m (No. 87)
Symmetry-distinct sites (fractional):
Nd 0.0000 0.0000 0.0000 (multiplicity 2)  2 Pb 3.21, 4 Sb 3.21
Nd 0.1021 0.6955 0.5000 (multiplicity 8)  5 Sb 3.16-3.21, 1 Pb 3.26
Sb 0.1005 0.7000 0.0000 (multiplicity 8)  6 Nd 3.16-3.21
Pb 0.0000 0.0000 0.5000 (multiplicity 2)  6 Nd 3.21-3.26

- E_form (uncorrected) (eV per atom) = -1.0288



# TbY6Tm2

TbY6Tm2 after structural relaxation (GGA-PBE, Alexandria via LeMat-Bulk).

a b c (Å): 13.4050 11.6573 9.0103
angles (deg): 90.00 125.31 90.00
Last column: nearest neighbours and their distance in Å.
Space group C2/c (No. 15)
Symmetry-distinct sites (fractional):
Tb 0.0000 0.0821 0.2500 (multiplicity 4)  4 Tm 3.46-3.54, 6 Y 3.48-3.54
Y 0.0837 0.3883 0.9868 (multiplicity 8)  2 Tm 3.29-3.48, 5 Y 3.37-3.56
Y 0.1520 0.3484 0.4064 (multiplicity 8)  5 Y 3.14-3.51
Y 0.2051 0.0915 0.1312 (multiplicity 8)  4 Tm 3.44-3.59, 2 Tb 3.48-3.54, 5 Y 3.51-3.77
Tm 0.1082 0.1719 0.6947 (multiplicity 8)  7 Y 3.29-3.62, 2 Tb 3.46-3.54, 1 Tm 3.57

- energy above the lowest structure with this stoichiometry (meV/atom) = 0
- energy of formation (eV per atom) = 0.0692



# NaHgBr2

NaHgBr2 after structural relaxation (GGA-PBE, Alexandria via LeMat-Bulk).

a b c (Å): 7.5960 7.5960 7.5960
angles (deg): 90.00 90.00 90.00
Last column: nearest neighbours and their distance in Å.
Space group Fm-3m (No. 225)
Symmetry-distinct sites (fractional):
Na 0.0000 0.0000 0.0000 (multiplicity 4)  8 Br 3.29
Hg 0.0000 0.0000 0.5000 (multiplicity 4)  8 Br 3.29
Br 0.2500 0.2500 0.2500 (multiplicity 8)  4 Hg 3.29, 4 Na 3.29

- energy above the lowest structure with this stoichiometry (meV/atom) = 105
- E_form (uncorrected) (eV per atom) = -0.6753



# B3IrF

B3IrF after structural relaxation (GGA-PBE, Alexandria via LeMat-Bulk).

a b c (Å): 3.5681 3.5681 3.5681
angles (deg): 90.00 90.00 90.00
Last column: nearest neighbours and their distance in Å.
Space group Pm-3m (No. 221)
Symmetry-distinct sites (fractional):
B 0.0000 0.0000 0.5000 (multiplicity 3)  2 F 1.78
Ir 0.5000 0.5000 0.5000 (multiplicity 1)  12 B 2.52
F 0.0000 0.0000 0.0000 (multiplicity 1)  6 B 1.78

- energy above the lowest structure with this stoichiometry (meV/atom) = 1101
- E_form (uncorrected) (eV per atom) = 1.5487



# CdMo2P

CdMo2P after structural relaxation (GGA-PBE, Alexandria via LeMat-Bulk).

a b c (Å): 3.4581 3.4581 20.7410
angles (deg): 90.00 90.00 120.00
Last column: nearest neighbours and their distance in Å.
Space group R-3m (No. 166, hexagonal axes)
Symmetry-distinct sites (fractional):
Cd 0.0000 0.0000 0.0000 (multiplicity 3)  6 Mo 3.01
Mo 0.0000 0.0000 0.2245 (multiplicity 6)  3 P 2.33
P 0.0000 0.0000 0.5000 (multiplicity 3)  6 Mo 2.33

- energy above the lowest structure with this stoichiometry (meV/atom) = 125
- energy of formation (eV per atom) = 0.1232



# GeRu2N

GeRu2N after structural relaxation (GGA-PBE, Alexandria via LeMat-Bulk).

a b c (Å): 5.8506 5.8506 5.8506
angles (deg): 90.00 90.00 90.00
Last column: nearest neighbours and their distance in Å.
Space group Fm-3m (No. 225)
Symmetry-distinct sites (fractional):
Ge 0.0000 0.0000 0.0000 (multiplicity 4)  8 Ru 2.53
Ru 0.2500 0.2500 0.2500 (multiplicity 8)  4 Ge 2.53, 4 N 2.53
N 0.0000 0.0000 0.5000 (multiplicity 4)  8 Ru 2.53

- E_form (uncorrected) (eV per atom) = 0.7891



# ScFePd3

ScFePd3 after structural relaxation (GGA-PBE, Alexandria via LeMat-Bulk).

a b c (Å): 4.6006 4.6006 4.6006
angles (deg): 90.00 90.00 90.00
Last column: nearest neighbours and their distance in Å.
Space group Pm-3m (No. 221)
Symmetry-distinct sites (fractional):
Sc 0.0000 0.0000 0.0000 (multiplicity 1)  12 Pd 3.25
Fe 0.5000 0.5000 0.5000 (multiplicity 1)  6 Pd 2.30
Pd 0.0000 0.5000 0.5000 (multiplicity 3)  2 Fe 2.30

- energy above the lowest structure with this stoichiometry (meV/atom) = 0
- energy of formation (eV per atom) = 0.2361



Calculated N(E_F) (states/eV/f.u.), listed in the same order as above: 5.96 0.97 4.19 5.14 13.17 4.05 1.62 4.45 2.20 5.16